Computed, not measured: crystalline AgTeBrN2 at its relaxed geometry at the GGA-PBE level of DFT.

Lattice parameters (Å, degrees): 3.979 3.979 8.126 90.00 90.00 90.00
Positions (direct):
Te 0.000 0.000 0.500
Br 0.000 0.000 0.000
Ag 0.500 0.500 0.500
N 0.000 0.500 0.000
N 0.500 0.000 0.000

The electronic total energy comes out at -2.869 eV/atom. As for the formation energy without anion corrections: 192.4 kJ/mol of atoms.